#P
Si3HgCl: optimized geometry, PBE-GGA.

Computed properties:
total magnetic moment	1.08	μB per cell

```
data_Si3HgCl
_chemical_formula_sum 'Si3 Hg1 Cl1'
_cell_length_a 5.162
_cell_length_b 5.162
_cell_length_c 5.162
_cell_angle_alpha 90.00
_cell_angle_beta 90.00
_cell_angle_gamma 90.00
_space_group_name_H-M_alt 'P 1'
_space_group_IT_number 1
_space_group_name_Hall 'P 1'
loop_
_atom_site_label
_atom_site_type_symbol
_atom_site_fract_x
_atom_site_fract_y
_atom_site_fract_z
Hg1 Hg 0.000 0.000 0.000
Si1 Si 0.000 0.000 0.500
Si2 Si 0.500 0.000 0.000
Si3 Si 0.000 0.500 0.000
Cl1 Cl 0.500 0.500 0.500
```



#Q
Si3HgCl: optimized geometry, PBE-GGA.

Computed properties:
total magnetic moment	0.00	μB per cell

```
data_Si3HgCl
_chemical_formula_sum 'Si3 Hg1 Cl1'
_cell_length_a 4.821
_cell_length_b 4.821
_cell_length_c 4.821
_cell_angle_alpha 90.00
_cell_angle_beta 90.00
_cell_angle_gamma 90.00
_space_group_name_H-M_alt 'P 1'
_space_group_IT_number 1
_space_group_name_Hall 'P 1'
loop_
_atom_site_label
_atom_site_type_symbol
_atom_site_fract_x
_atom_site_fract_y
_atom_site_fract_z
Hg1 Hg 0.500 0.500 0.500
Si1 Si 0.000 0.000 0.500
Si2 Si 0.000 0.500 0.000
Si3 Si 0.500 0.000 0.000
Cl1 Cl 0.000 0.000 0.000
```



Going by the computed energies, the most stable comes first: #Q, #P.